# GGA-PBE CaZn10Au2, optimized geometry
data_CaZn10Au2
_chemical_formula_sum 'Ca1 Zn10 Au2'
_cell_length_a 5.513
_cell_length_b 6.810
_cell_length_c 6.998
_cell_angle_alpha 80.82
_cell_angle_beta 66.80
_cell_angle_gamma 66.12
_space_group_name_H-M_alt 'P 1'
_space_group_IT_number 1
loop_
_space_group_symop_operation_xyz
'x,y,z'
loop_
_atom_site_label
_atom_site_type_symbol
_atom_site_fract_x
_atom_site_fract_y
_atom_site_fract_z
_atom_site_occupancy
Ca1 Ca 0.000 0.000 0.000 1
Zn1 Zn 0.355 0.647 0.642 1
Zn2 Zn 0.645 0.353 0.358 1
Zn3 Zn 0.002 0.353 0.642 1
Zn4 Zn 0.998 0.647 0.358 1
Zn5 Zn 0.000 0.000 0.500 1
Zn6 Zn 0.500 0.000 0.500 1
Zn7 Zn 0.279 0.214 0.228 1
Zn8 Zn 0.721 0.786 0.772 1
Zn9 Zn 0.493 0.786 0.228 1
Zn10 Zn 0.507 0.214 0.772 1
Au1 Au 0.000 0.500 0.000 1
Au2 Au 0.500 0.500 0.000 1
# Density of states at the Fermi level   0.256 states/eV/atom
# Calculated formation energy   -177 meV per atom
# Crystal system   orthorhombic
# Density   8.2 g/cm3
# Raw total energy   -1.81 eV/atom